No. 1
Material: Sc2TcHg
Method: DFT, PBE
State: optimized geometry

The structure in POSCAR format:
```
Sc2TcHg
1.0
5.256 -1.797 0.000
5.256 1.797 0.000
-1.937 0.000 4.092
Sc Tc Hg
2 1 1
direct
0.000 0.000 0.000
0.228 0.228 0.727
0.723 0.723 0.221
0.466 0.466 0.466
```

Properties
As for the formation energy: -145 meV/atom. Its space group is No. 8.


No. 2
Material: Ti2TcAuC
Method: DFT, PBE
State: optimized geometry

The structure in POSCAR format:
```
Ti2TcAuC
1.0
4.806 0.000 0.000
0.000 4.806 0.000
0.000 0.000 4.823
Ti Tc Au C
2 1 1 1
direct
0.000 0.500 0.000
0.500 0.000 0.000
0.000 0.000 0.500
0.000 0.000 0.000
0.500 0.500 0.500
```

Properties
The energy above the lowest structure with this stoichiometry comes out at 2.8932 eV per atom. As for the formation energy: 2451 meV/atom. Its space group is No. 123.


No. 3
Material: PdAuBr3
Method: DFT, PBE
State: optimized geometry

The structure in POSCAR format:
```
PdAuBr3
1.0
5.117 0.000 0.000
0.000 5.117 0.000
0.000 0.000 5.117
Pd Au Br
1 1 3
direct
0.000 0.000 0.000
0.500 0.500 0.500
0.000 0.000 0.500
0.000 0.500 0.000
0.500 0.000 0.000
```

Properties
The formation energy (no corrections) is 0.223 eV per atom. The energy above the lowest structure with this stoichiometry comes out at 0.0000 eV per atom. Its space group is No. 221.